Record 1
LiNiCl2 (PBE-GGA, relaxed); raw formation energy = -0.787 eV per atom; energy = -3.634 eV/atom; density = 2.593 g/cm3
1.0
1.707 -3.858 0.000
1.707 3.858 0.000
0.000 0.000 6.639
Li Ni Cl
1 1 2
Direct
0.000 0.000 0.000
0.000 0.000 0.500
0.500 0.500 0.260
0.500 0.500 0.740

Record 2
Ba2ZnReN4 (PBE-GGA, relaxed); raw formation energy = -0.296 eV per atom; energy = -6.655 eV/atom; density = 6.373 g/cm3
1.0
0.000 5.914 9.981
2.570 0.000 9.981
2.570 5.914 0.000
Ba Zn Re N
4 2 2 8
Direct
0.049 0.049 0.701
0.299 0.299 0.951
0.701 0.701 0.049
0.951 0.951 0.299
0.125 0.125 0.125
0.875 0.875 0.875
0.375 0.375 0.375
0.625 0.625 0.625
0.007 0.645 0.555
0.294 0.555 0.645
0.355 0.993 0.706
0.445 0.706 0.993
0.555 0.294 0.007
0.645 0.007 0.294
0.706 0.445 0.355
0.993 0.355 0.445

Record 3
CeTePd (PBE-GGA, relaxed); raw formation energy = -0.989 eV per atom; energy = -5.745 eV/atom; density = 8.423 g/cm3
1.0
4.589 0.000 0.000
-2.295 3.974 0.000
0.000 0.000 4.044
Ce Te Pd
1 1 1
Direct
0.000 0.000 0.000
0.333 0.667 0.500
0.667 0.333 0.500

| no. | total moment (μB/atom) |
| --- | --- |
| 1 | 0.250 |
| 2 | 0.000 |
| 3 | 0.394 |